Entry 1:
Material: V3GaMo
Method: DFT, PBE-GGA
State: optimized geometry

Lattice parameters (Å, degrees): 4.5438 4.5438 4.5438 90.00 90.00 90.00
With the nearest neighbours (Å) after each atom.
Atoms (fractional coordinates):
V: 0.0000 0.0000 0.5000  2 Mo 2.27
V: 0.5000 0.0000 0.0000  2 Mo 2.27
V: 0.0000 0.5000 0.0000  2 Mo 2.27
Ga: 0.5000 0.5000 0.5000  12 V 3.21
Mo: 0.0000 0.0000 0.0000  6 V 2.27

## Properties
Formation enthalpy at 0 K ... 1.193 eV per atom

Entry 2:
Material: VGaMo2
Method: DFT, PBE-GGA
State: optimized geometry

Lattice parameters (Å, degrees): 3.2627 3.2627 5.6274 90.00 90.00 90.00
With the nearest neighbours (Å) after each atom.
Atoms (fractional coordinates):
V: 0.5000 0.5000 0.0000  8 Mo 2.68, 2 Ga 2.81
Mo: 0.0000 0.0000 0.2432  4 V 2.68, 4 Ga 2.72, 2 Mo 2.74-2.89
Mo: 0.0000 0.0000 0.7568  4 V 2.68, 4 Ga 2.72, 2 Mo 2.74-2.89
Ga: 0.5000 0.5000 0.5000  8 Mo 2.72, 2 V 2.81

## Properties
Formation enthalpy at 0 K ... -0.030 eV per atom

Entry 3:
Material: V3GaMo
Method: DFT, PBE-GGA
State: optimized geometry

Lattice parameters (Å, degrees): 4.3464 5.0050 6.9172 90.00 108.31 90.00
With the nearest neighbours (Å) after each atom.
Atoms (fractional coordinates):
V: 0.0149 0.7500 0.0299  4 V 2.53-2.69, 2 Mo 2.55, 2 Ga 2.62
V: 0.1953 0.0052 0.3907  5 V 2.45-2.69, 3 Ga 2.65-2.68
V: 0.9851 0.2500 0.9701  4 V 2.53-2.69, 2 Mo 2.55, 2 Ga 2.62
V: 0.8047 0.9948 0.6093  5 V 2.45-2.69, 3 Ga 2.65-2.68
V: 0.8047 0.5052 0.6093  5 V 2.45-2.69, 3 Ga 2.65-2.68
V: 0.1953 0.4948 0.3907  5 V 2.45-2.69, 3 Ga 2.65-2.68
Mo: 0.5870 0.2500 0.1739  2 V 2.55, 3 Ga 2.55-2.80
Mo: 0.4130 0.7500 0.8261  2 V 2.55, 3 Ga 2.55-2.80
Ga: 0.6260 0.7500 0.2520  3 Mo 2.55-2.80, 8 V 2.62-2.68
Ga: 0.3740 0.2500 0.7480  3 Mo 2.55-2.80, 8 V 2.62-2.68

## Properties
Formation enthalpy at 0 K ... 0.007 eV per atom

Entry 4:
Material: VGa3Mo
Method: DFT, PBE-GGA
State: optimized geometry

Lattice parameters (Å, degrees): 4.8289 4.8289 4.8289 90.00 90.00 90.00
With the nearest neighbours (Å) after each atom.
Atoms (fractional coordinates):
V: 0.5000 0.5000 0.5000  12 Ga 3.41
Mo: 0.0000 0.0000 0.0000  6 Ga 2.41
Ga: 0.5000 0.0000 0.0000  2 Mo 2.41
Ga: 0.0000 0.0000 0.5000  2 Mo 2.41
Ga: 0.0000 0.5000 0.0000  2 Mo 2.41

## Properties
Formation enthalpy at 0 K ... 0.760 eV per atom